No. 1
Material: NaTm2Pb5
Method: DFT, GGA-PBE
State: relaxed

abc: 7.9266 7.9266 7.2464
angles: 90.00 90.00 90.00
Closest atoms and distances in Å follow each position.
Element x y z (fractional)
Na (0.0000, 0.0000, 0.0000)  10 Pb 3.34-3.63
Na (0.5000, 0.5000, 0.5000)  10 Pb 3.34-3.63
Tm (0.0000, 0.5000, 0.4995)  8 Pb 3.34, 2 Tm 3.62
Tm (0.0000, 0.5000, 0.9995)  8 Pb 3.34, 2 Tm 3.62
Tm (0.5000, 0.0000, 0.4995)  8 Pb 3.34, 2 Tm 3.62
Tm (0.5000, 0.0000, 0.9995)  8 Pb 3.34, 2 Tm 3.62
Pb (0.0000, 0.0000, 0.4990)  8 Pb 3.34, 2 Na 3.62-3.63
Pb (0.2502, 0.2502, 0.2495)  2 Na 3.34, 4 Tm 3.34, 4 Pb 3.34-3.62
Pb (0.2498, 0.2498, 0.7495)  2 Na 3.34, 4 Tm 3.34, 4 Pb 3.34-3.62
Pb (0.2502, 0.7498, 0.2495)  2 Na 3.34, 4 Tm 3.34, 4 Pb 3.34-3.62
Pb (0.2498, 0.7502, 0.7495)  2 Na 3.34, 4 Tm 3.34, 4 Pb 3.34-3.62
Pb (0.5000, 0.5000, 0.9990)  8 Pb 3.34, 2 Na 3.62-3.63
Pb (0.7498, 0.2502, 0.2495)  2 Na 3.34, 4 Tm 3.34, 4 Pb 3.34-3.62
Pb (0.7502, 0.2498, 0.7495)  2 Na 3.34, 4 Tm 3.34, 4 Pb 3.34-3.62
Pb (0.7498, 0.7498, 0.2495)  2 Na 3.34, 4 Tm 3.34, 4 Pb 3.34-3.62
Pb (0.7502, 0.7502, 0.7495)  2 Na 3.34, 4 Tm 3.34, 4 Pb 3.34-3.62

## Properties
* calculated formation energy: -1.9 eV/f.u.

No. 2
Material: Na2TmPb2
Method: DFT, GGA-PBE
State: relaxed

abc: 14.3611 14.3611 4.5476
angles: 90.00 90.00 161.70
Closest atoms and distances in Å follow each position.
Element x y z (fractional)
Na (0.0536, 0.9464, 0.7500)  4 Na 3.22, 2 Pb 3.41
Na (0.4458, 0.5542, 0.7500)  4 Na 3.22, 2 Pb 3.40
Na (0.5542, 0.4458, 0.2500)  4 Na 3.22, 2 Pb 3.40
Na (0.9464, 0.0536, 0.2500)  4 Na 3.22, 2 Pb 3.41
Tm (0.1610, 0.8390, 0.2500)  8 Pb 3.26-3.41
Tm (0.8390, 0.1610, 0.7500)  8 Pb 3.26-3.41
Pb (0.2505, 0.7495, 0.7500)  4 Pb 3.22, 4 Tm 3.39-3.41
Pb (0.3569, 0.6431, 0.2500)  4 Tm 3.26, 4 Na 3.40-3.41
Pb (0.6431, 0.3569, 0.7500)  4 Tm 3.26, 4 Na 3.40-3.41
Pb (0.7495, 0.2505, 0.2500)  4 Pb 3.22, 4 Tm 3.39-3.41

## Properties
* calculated formation energy: -0.6 eV/f.u.

No. 3
Material: Na2TmPb6
Method: DFT, GGA-PBE
State: relaxed

abc: 9.2206 9.2206 6.4875
angles: 97.51 97.51 95.28
Closest atoms and distances in Å follow each position.
Element x y z (fractional)
Na (0.1225, 0.1557, 0.3767)  3 Na 3.28-3.53, 7 Pb 3.33-3.63
Na (0.1557, 0.1225, 0.8767)  3 Na 3.28-3.53, 7 Pb 3.33-3.63
Na (0.8443, 0.8775, 0.1233)  3 Na 3.28-3.53, 7 Pb 3.33-3.63
Na (0.8775, 0.8443, 0.6233)  3 Na 3.28-3.53, 7 Pb 3.33-3.63
Tm (0.4003, 0.5997, 0.7500)  8 Pb 3.23-3.49
Tm (0.5997, 0.4003, 0.2500)  8 Pb 3.23-3.49
Pb (0.0651, 0.4374, 0.7256)  6 Pb 3.25-3.57, 1 Tm 3.28, 2 Na 3.33-3.34
Pb (0.1628, 0.7735, 0.9910)  1 Tm 3.27, 6 Pb 3.30-3.57, 3 Na 3.35-3.48
Pb (0.2265, 0.8372, 0.5090)  1 Tm 3.27, 6 Pb 3.30-3.57, 3 Na 3.35-3.48
Pb (0.2611, 0.4677, 0.2266)  2 Tm 3.23-3.49, 4 Pb 3.25-3.51, 1 Na 3.35
Pb (0.4374, 0.0651, 0.2256)  6 Pb 3.25-3.57, 1 Tm 3.28, 2 Na 3.33-3.34
Pb (0.4677, 0.2611, 0.7266)  2 Tm 3.23-3.49, 4 Pb 3.25-3.51, 1 Na 3.35
Pb (0.5323, 0.7389, 0.2734)  2 Tm 3.23-3.49, 4 Pb 3.25-3.51, 1 Na 3.35
Pb (0.5626, 0.9349, 0.7744)  6 Pb 3.25-3.57, 1 Tm 3.28, 2 Na 3.33-3.34
Pb (0.7389, 0.5323, 0.7734)  2 Tm 3.23-3.49, 4 Pb 3.25-3.51, 1 Na 3.35
Pb (0.7735, 0.1628, 0.4910)  1 Tm 3.27, 6 Pb 3.30-3.57, 3 Na 3.35-3.48
Pb (0.8372, 0.2265, 0.0090)  1 Tm 3.27, 6 Pb 3.30-3.57, 3 Na 3.35-3.48
Pb (0.9349, 0.5626, 0.2744)  6 Pb 3.25-3.57, 1 Tm 3.28, 2 Na 3.33-3.34

## Properties
* calculated formation energy: -0.7 eV/f.u.

No. 4
Material: Na2TmPb3
Method: DFT, GGA-PBE
State: relaxed

abc: 3.6205 3.6205 12.9287
angles: 90.00 90.00 90.00
Closest atoms and distances in Å follow each position.
Element x y z (fractional)
Na (0.0000, 0.0000, 0.1682)  8 Pb 3.36, 4 Na 3.62
Na (0.0000, 0.0000, 0.8318)  8 Pb 3.36, 4 Na 3.62
Tm (0.0000, 0.0000, 0.5000)  8 Pb 3.32, 4 Tm 3.62
Pb (0.5000, 0.5000, 0.0000)  8 Na 3.36, 4 Pb 3.62
Pb (0.5000, 0.5000, 0.3363)  4 Tm 3.32, 4 Na 3.36, 4 Pb 3.62
Pb (0.5000, 0.5000, 0.6637)  4 Tm 3.32, 4 Na 3.36, 4 Pb 3.62

## Properties
* energy above the most stable polymorph in this dataset: 9 meV per atom
* calculated formation energy: -1.3 eV/f.u.

No. 5
Material: Na3TmPb4
Method: DFT, GGA-PBE
State: relaxed

abc: 5.0064 5.0064 18.0225
angles: 90.00 90.00 90.00
Closest atoms and distances in Å follow each position.
Element x y z (fractional)
Na (0.0000, 0.0000, 0.0000)  8 Pb 3.31, 4 Tm 3.54
Na (0.0000, 0.0000, 0.2515)  8 Pb 3.41-3.45, 4 Na 3.54
Na (0.0000, 0.0000, 0.7485)  8 Pb 3.41-3.45, 4 Na 3.54
Na (0.5000, 0.5000, 0.2485)  8 Pb 3.41-3.45, 4 Na 3.54
Na (0.5000, 0.5000, 0.5000)  8 Pb 3.31, 4 Tm 3.54
Na (0.5000, 0.5000, 0.7515)  8 Pb 3.41-3.45, 4 Na 3.54
Tm (0.0000, 0.0000, 0.5000)  8 Pb 3.31, 4 Na 3.54
Tm (0.5000, 0.5000, 0.0000)  8 Pb 3.31, 4 Na 3.54
Pb (0.0000, 0.5000, 0.1199)  2 Tm 3.31, 6 Na 3.31-3.45, 4 Pb 3.54
Pb (0.0000, 0.5000, 0.3801)  6 Na 3.31-3.45, 2 Tm 3.31, 4 Pb 3.54
Pb (0.0000, 0.5000, 0.6199)  6 Na 3.31-3.45, 2 Tm 3.31, 4 Pb 3.54
Pb (0.0000, 0.5000, 0.8801)  2 Tm 3.31, 6 Na 3.31-3.45, 4 Pb 3.54
Pb (0.5000, 0.0000, 0.1199)  2 Tm 3.31, 6 Na 3.31-3.45, 4 Pb 3.54
Pb (0.5000, 0.0000, 0.3801)  6 Na 3.31-3.45, 2 Tm 3.31, 4 Pb 3.54
Pb (0.5000, 0.0000, 0.6199)  6 Na 3.31-3.45, 2 Tm 3.31, 4 Pb 3.54
Pb (0.5000, 0.0000, 0.8801)  2 Tm 3.31, 6 Na 3.31-3.45, 4 Pb 3.54

## Properties
* calculated formation energy: -1.7 eV/f.u.

No. 6
Material: NaTm4Pb5
Method: DFT, GGA-PBE
State: relaxed

abc: 3.5068 3.5068 22.6910
angles: 90.00 90.00 90.00
Closest atoms and distances in Å follow each position.
Element x y z (fractional)
Na (0.0000, 0.0000, 0.0000)  8 Pb 3.48, 4 Na 3.51
Tm (0.0000, 0.0000, 0.2058)  8 Pb 3.33-3.34, 4 Tm 3.51
Tm (0.0000, 0.0000, 0.4022)  8 Pb 3.33, 4 Tm 3.51
Tm (0.0000, 0.0000, 0.5978)  8 Pb 3.33, 4 Tm 3.51
Tm (0.0000, 0.0000, 0.7942)  8 Pb 3.33-3.34, 4 Tm 3.51
Pb (0.5000, 0.5000, 0.1074)  4 Tm 3.34, 4 Na 3.48, 4 Pb 3.51
Pb (0.5000, 0.5000, 0.3041)  8 Tm 3.33, 4 Pb 3.51
Pb (0.5000, 0.5000, 0.5000)  8 Tm 3.33, 4 Pb 3.51
Pb (0.5000, 0.5000, 0.6959)  8 Tm 3.33, 4 Pb 3.51
Pb (0.5000, 0.5000, 0.8926)  4 Tm 3.34, 4 Na 3.48, 4 Pb 3.51

## Properties
* energy above the most stable polymorph in this dataset: 0 meV per atom
* calculated formation energy: -3.3 eV/f.u.

No. 7
Material: Na4TmPb15
Method: DFT, GGA-PBE
State: relaxed

abc: 4.9555 4.9555 24.2034
angles: 90.00 90.00 90.00
Closest atoms and distances in Å follow each position.
Element x y z (fractional)
Na (0.0000, 0.0000, 0.1009)  12 Pb 3.47-3.50
Na (0.0000, 0.0000, 0.3031)  12 Pb 3.45-3.50
Na (0.0000, 0.0000, 0.6969)  12 Pb 3.45-3.50
Na (0.0000, 0.0000, 0.8991)  12 Pb 3.47-3.50
Tm (0.0000, 0.0000, 0.5000)  12 Pb 3.43-3.50
Pb (0.0000, 0.5000, 0.0000)  8 Pb 3.47-3.50, 4 Na 3.48
Pb (0.0000, 0.5000, 0.2012)  8 Pb 3.46-3.50, 4 Na 3.47-3.50
Pb (0.0000, 0.5000, 0.4022)  8 Pb 3.43-3.50, 2 Tm 3.43, 2 Na 3.45
Pb (0.0000, 0.5000, 0.5978)  8 Pb 3.43-3.50, 2 Tm 3.43, 2 Na 3.45
Pb (0.0000, 0.5000, 0.7988)  8 Pb 3.46-3.50, 4 Na 3.47-3.50
Pb (0.5000, 0.0000, 0.0000)  8 Pb 3.47-3.50, 4 Na 3.48
Pb (0.5000, 0.0000, 0.2012)  8 Pb 3.46-3.50, 4 Na 3.47-3.50
Pb (0.5000, 0.0000, 0.4022)  8 Pb 3.43-3.50, 2 Tm 3.43, 2 Na 3.45
Pb (0.5000, 0.0000, 0.5978)  8 Pb 3.43-3.50, 2 Tm 3.43, 2 Na 3.45
Pb (0.5000, 0.0000, 0.7988)  8 Pb 3.46-3.50, 4 Na 3.47-3.50
Pb (0.5000, 0.5000, 0.1006)  8 Pb 3.47, 4 Na 3.50
Pb (0.5000, 0.5000, 0.3010)  8 Pb 3.46-3.48, 4 Na 3.50
Pb (0.5000, 0.5000, 0.5000)  8 Pb 3.43, 4 Tm 3.50
Pb (0.5000, 0.5000, 0.6990)  8 Pb 3.46-3.48, 4 Na 3.50
Pb (0.5000, 0.5000, 0.8994)  8 Pb 3.47, 4 Na 3.50

## Properties
* calculated formation energy: -2.7 eV/f.u.

No. 8
Material: NaTm2Pb3
Method: DFT, GGA-PBE
State: relaxed

abc: 3.5054 3.5054 13.7748
angles: 90.00 90.00 90.00
Closest atoms and distances in Å follow each position.
Element x y z (fractional)
Na (0.0000, 0.0000, 0.0000)  8 Pb 3.47, 4 Na 3.51
Tm (0.0000, 0.0000, 0.3370)  8 Pb 3.33-3.34, 4 Tm 3.51
Tm (0.0000, 0.0000, 0.6630)  8 Pb 3.33-3.34, 4 Tm 3.51
Pb (0.5000, 0.5000, 0.1758)  4 Tm 3.33, 4 Na 3.47, 4 Pb 3.51
Pb (0.5000, 0.5000, 0.5000)  8 Tm 3.34, 4 Pb 3.51
Pb (0.5000, 0.5000, 0.8242)  4 Tm 3.33, 4 Na 3.47, 4 Pb 3.51

## Properties
* calculated formation energy: -1.9 eV/f.u.

Q: Which final energy values were calculated for the entries above? A: -61.40 -30.25 -60.06 -19.58 -49.98 -41.09 -68.04 -23.27, in eV/cell.